(1)
VASP calculation (PBE-GGA) on TaMo3 after structural relaxation.

Properties
DOS at the Fermi energy (states/eV/f.u.): 3.9
Calculated total energy (eV/cell): -86.01
E_form (eV per formula unit): 1.34

Structure (POSCAR):
```
TaMo3
1.0
2.193 -5.082 0.000
2.193 5.082 0.000
0.000 0.000 6.170
Ta Mo
2 6
direct
0.090 0.910 0.750
0.910 0.090 0.250
0.179 0.821 0.250
0.371 0.629 0.524
0.371 0.629 0.976
0.629 0.371 0.024
0.629 0.371 0.476
0.821 0.179 0.750
```

---

(2)
VASP calculation (PBE-GGA) on Sc2S2N after structural relaxation.

Properties
DOS at the Fermi energy (states/eV/f.u.): 0.2
Calculated total energy (eV/cell): -69.42
E_form (uncorrected) (eV per atom): -1.09

Structure (POSCAR):
```
Sc2S2N
1.0
6.594 0.000 0.000
0.000 6.594 0.000
0.000 0.000 3.633
Sc S N
4 4 2
direct
0.174 0.326 0.000
0.326 0.826 0.000
0.674 0.174 0.000
0.826 0.674 0.000
0.144 0.644 0.500
0.356 0.144 0.500
0.644 0.856 0.500
0.856 0.356 0.500
0.000 0.000 0.000
0.500 0.500 0.000
```

---

(3)
VASP calculation (PBE-GGA) on Li5Bi2Pt after structural relaxation.

Properties
DOS at the Fermi energy (states/eV/f.u.): 3.5
Calculated total energy (eV/cell): -53.38
E_form (eV per formula unit): -3.32

Structure (POSCAR):
```
Li5Bi2Pt
1.0
4.653 0.000 0.000
-2.327 4.030 0.000
0.000 0.000 18.381
Li Bi Pt
10 4 2
direct
0.000 0.000 0.168
0.000 0.000 0.332
0.000 0.000 0.668
0.000 0.000 0.832
0.333 0.667 0.050
0.333 0.667 0.250
0.333 0.667 0.450
0.667 0.333 0.550
0.667 0.333 0.750
0.667 0.333 0.950
0.333 0.667 0.606
0.333 0.667 0.894
0.667 0.333 0.106
0.667 0.333 0.394
0.333 0.667 0.750
0.667 0.333 0.250
```

---

Which of these has the highest calculated total energy? Li5Bi2Pt